Record 1
Computed, not measured: a relaxed structure of NiMoPt4 at the PBE level of DFT.

```
NiMoPt4
1.0
0.000 3.654 3.654
3.654 0.000 3.654
3.654 3.654 0.000
Ni Mo Pt
1 1 4
Cartesian
0.000 0.000 0.000 Ni
1.827 1.827 1.827 Mo
4.568 2.740 2.740 Pt
2.740 4.568 2.740 Pt
2.740 2.740 4.568 Pt
4.568 4.568 4.568 Pt
```

Computed properties:
Crystal system: cubic
Volume: 97.6 Å³/cell
Space-group type: No. 216
D(E_F): 0.80 states/eV/atom
Final energy: -6.530 eV per atom

***

Record 2
Computed, not measured: a relaxed structure of Mn2TlSe3 at the PBE level of DFT.

```
Mn2TlSe3
1.0
11.833 -2.057 0.000
11.833 2.057 0.000
-1.946 0.000 7.243
Mn Tl Se
4 2 6
Cartesian
0.475 0.000 2.848 Mn
6.192 0.000 3.623 Mn
15.528 0.000 3.621 Mn
21.245 0.000 4.396 Mn
8.316 0.000 0.537 Tl
13.405 0.000 6.707 Tl
-0.120 0.000 5.220 Se
4.074 0.000 5.041 Se
8.169 0.000 5.124 Se
13.551 0.000 2.119 Se
17.646 0.000 2.203 Se
21.841 0.000 2.024 Se
```

Computed properties:
Crystal system: monoclinic
Formation energy from raw total energies: -0.353 eV/atom
Volume: 352.5 Å³/cell
Space-group type: No. 12
D(E_F): 0.47 states/eV/atom